The following is a PBE+U calculation of a geometry-optimized ZnCo4Cu3O12 structure, from Alexandria.

Geometry as POSCAR:
```
ZnCo4Cu3O12
1.0
6.241 0.000 0.000
-2.080 5.884 0.000
-2.080 -2.942 5.096
Co Zn O Cu
4 1 12 3
Cartesian
-1.040 -1.471 2.548
-1.040 2.942 0.000
1.040 1.471 2.548
3.120 0.000 0.000
0.000 0.000 0.000
0.557 2.315 0.882
-2.164 1.530 4.414
0.083 2.827 3.532
1.997 0.115 1.564
2.637 2.548 2.650
-0.083 -1.645 4.214
-0.557 0.394 2.446
3.604 -1.021 3.532
4.244 1.412 0.682
-1.523 3.963 1.564
1.523 0.627 4.214
2.164 4.587 0.882
2.080 2.942 0.000
-2.080 1.471 2.548
2.080 -1.471 2.548
```

Computed properties:
- E_tot: -107.3 eV for the cell shown
- SG: No. 204
- Fermi-level density of states: 7.72 states/eV/f.u.
- Spin magnetization: 0.3429 μB/atom